Sr5PmTe6 | PBE | optimized geometry

As for the uncorrected formation energy: -1.66 eV/atom. As for the crystal system: monoclinic. The value obtained for the electronic total energy is -4.332 eV per atom.

It has space group C2/m (No. 12), with a = 8.120 Å, b = 14.058 Å, c = 8.122 Å, α = 90.00°, β = 109.48° and γ = 90.00°. The asymmetric unit holds Sr at (0.000, 0.000, 0.000), Sr at (0.000, 0.166, 0.500), Sr at (0.000, 0.331, 0.000), Pm at (0.000, 0.500, 0.500), Te at (0.242, 0.500, 0.255) and Te at (0.243, 0.338, 0.744).